No. 1
# Tm2Mg3Zr2

A relaxed Tm2Mg3Zr2 crystal (GGA-PBE, the Alexandria database).

It has space group Cmmm (No. 65), with a = 3.2679 Å, b = 32.8821 Å, c = 3.2770 Å, α = 90.00°, β = 90.00° and γ = 90.00°. The inequivalent atoms are Tm at (0.0000, 0.2006, 0.0000), Mg at (0.0000, 0.0640, 0.0000), Mg at (0.0000, 0.5000, 0.5000) and Zr at (0.0000, 0.3682, 0.5000).

The formation energy is 0.043 eV per atom. Its total DFT energy (no corrections) is -30.524 eV/f.u.

=====

No. 2
# Tc3TeOs

A relaxed Tc3TeOs crystal (GGA-PBE, the Alexandria database).

It has space group Pm-3m (No. 221), with a = 4.7222 Å, b = 4.7222 Å, c = 4.7222 Å, α = 90.00°, β = 90.00° and γ = 90.00°. The inequivalent atoms are Tc at (0.0000, 0.0000, 0.5000), Te at (0.0000, 0.0000, 0.0000) and Os at (0.5000, 0.5000, 0.5000).

Its total DFT energy (no corrections) is -33.541 eV/f.u.

=====

No. 3
# SrY2GeI

A relaxed SrY2GeI crystal (GGA-PBE, the Alexandria database).

It has space group P4/mmm (No. 123), with a = 6.1380 Å, b = 6.1380 Å, c = 5.3290 Å, α = 90.00°, β = 90.00° and γ = 90.00°. The inequivalent atoms are Sr at (0.0000, 0.0000, 0.0000), Y at (0.0000, 0.5000, 0.0000), Ge at (0.0000, 0.0000, 0.5000) and I at (0.5000, 0.5000, 0.5000).

Its total DFT energy (no corrections) is -16.232 eV/f.u.

=====

No. 4
# TlSeN3

A relaxed TlSeN3 crystal (GGA-PBE, the Alexandria database).

It has space group Pm-3m (No. 221), with a = 4.3629 Å, b = 4.3629 Å, c = 4.3629 Å, α = 90.00°, β = 90.00° and γ = 90.00°. The inequivalent atoms are Tl at (0.0000, 0.0000, 0.0000), Se at (0.5000, 0.5000, 0.5000) and N at (0.0000, 0.0000, 0.5000).

Its total DFT energy (no corrections) is -17.126 eV/f.u.

=====

No. 5
# AsNF2

A relaxed AsNF2 crystal (GGA-PBE, the Alexandria database).

It has space group R-3m (No. 166, hexagonal axes), with a = 3.0382 Å, b = 3.0382 Å, c = 25.5720 Å, α = 90.00°, β = 90.00° and γ = 120.00°. The inequivalent atoms are As at (0.0000, 0.0000, 0.0000), N at (0.0000, 0.0000, 0.5000) and F at (0.0000, 0.0000, 0.0716).

Its total DFT energy (no corrections) is -15.279 eV/f.u.

=====

No. 6
# HfSiB

A relaxed HfSiB crystal (GGA-PBE, the Alexandria database).

It has space group Pnma (No. 62), with a = 9.3395 Å, b = 3.3564 Å, c = 5.2468 Å, α = 90.00°, β = 90.00° and γ = 90.00°. The inequivalent atoms are Hf at (0.0663, 0.2500, 0.2492), Si at (0.1735, 0.2500, 0.7358) and B at (0.1748, 0.7500, 0.9568).

Its total DFT energy (no corrections) is -23.665 eV/f.u.